Record 1
DFT (PBE) results for crystalline Ce3TaTl3S8 at its relaxed geometry.

Summary:
Uncorrected formation energy   -1.283 eV per atom

CIF file:
```
data_Ce3TaTl3S8
_cell_length_a 7.9916
_cell_length_b 7.9916
_cell_length_c 22.9855
_cell_angle_alpha 90.00
_cell_angle_beta 90.00
_cell_angle_gamma 120.00
_symmetry_space_group_name_H-M 'R -3 m'
_symmetry_Int_Tables_number 166
_symmetry_space_group_name_Hall '-R 3 2"'
loop_
_atom_site_label
_atom_site_type_symbol
_atom_site_fract_x
_atom_site_fract_y
_atom_site_fract_z
_atom_site_occupancy
Ce1 Ce 0.0000 0.5000 0.0000 1
Ta1 Ta 0.0000 0.0000 0.0000 1
Tl1 Tl 0.0000 0.5000 0.5000 1
S1 S 0.0000 0.0000 0.2642 1
S2 S 0.0332 0.5166 0.7299 1
```

***

Record 2
DFT (PBE) results for crystalline CaPrNiPd at its relaxed geometry.

Summary:
Polymorph energy (0 for the lowest one)   66 meV/atom
Energy of formation   -0.4080 eV/atom

CIF file:
```
data_CaPrNiPd
_cell_length_a 7.082
_cell_length_b 7.082
_cell_length_c 7.082
_cell_angle_alpha 90.00
_cell_angle_beta 90.00
_cell_angle_gamma 90.00
_symmetry_space_group_name_H-M 'F -4 3 m'
_symmetry_Int_Tables_number 216
_symmetry_space_group_name_Hall 'F -4 2 3'
loop_
_atom_site_label
_atom_site_type_symbol
_atom_site_fract_x
_atom_site_fract_y
_atom_site_fract_z
_atom_site_occupancy
Ca1 Ca 0.000 0.000 0.000 1
Pr1 Pr 0.000 0.000 0.500 1
Ni1 Ni 0.250 0.250 0.250 1
Pd1 Pd 0.250 0.250 0.750 1
```

***

Record 3
DFT (PBE) results for crystalline RbCl2F at its relaxed geometry.

Summary:
Uncorrected formation energy   -0.714 eV per atom

CIF file:
```
data_RbCl2F
_cell_length_a 4.8534
_cell_length_b 4.8534
_cell_length_c 16.2569
_cell_angle_alpha 90.00
_cell_angle_beta 90.00
_cell_angle_gamma 120.00
_symmetry_space_group_name_H-M 'R -3 m'
_symmetry_Int_Tables_number 166
_symmetry_space_group_name_Hall '-R 3 2"'
loop_
_atom_site_label
_atom_site_type_symbol
_atom_site_fract_x
_atom_site_fract_y
_atom_site_fract_z
_atom_site_occupancy
Rb1 Rb 0.0000 0.0000 0.0000 1
Cl1 Cl 0.0000 0.0000 0.1863 1
F1 F 0.0000 0.0000 0.5000 1
```

***

Record 4
DFT (PBE) results for crystalline LaPm4Y at its relaxed geometry.

Summary:
Polymorph energy (0 for the lowest one)   217 meV/atom
Energy of formation   0.2337 eV/atom

CIF file:
```
data_LaPm4Y
_cell_length_a 9.503
_cell_length_b 9.503
_cell_length_c 9.503
_cell_angle_alpha 90.00
_cell_angle_beta 90.00
_cell_angle_gamma 90.00
_symmetry_space_group_name_H-M 'F -4 3 m'
_symmetry_Int_Tables_number 216
_symmetry_space_group_name_Hall 'F -4 2 3'
loop_
_atom_site_label
_atom_site_type_symbol
_atom_site_fract_x
_atom_site_fract_y
_atom_site_fract_z
_atom_site_occupancy
La1 La 0.000 0.000 0.000 1
Pm1 Pm 0.124 0.124 0.624 1
Y1 Y 0.250 0.250 0.250 1
```

***

Record 5
DFT (PBE) results for crystalline RbSnCl2 at its relaxed geometry.

Summary:
Uncorrected formation energy   -0.932 eV per atom
Polymorph energy (0 for the lowest one)   143 meV/atom

CIF file:
```
data_RbSnCl2
_cell_length_a 6.229
_cell_length_b 6.229
_cell_length_c 17.345
_cell_angle_alpha 90.00
_cell_angle_beta 90.00
_cell_angle_gamma 90.00
_symmetry_space_group_name_H-M 'I -4 2 d'
_symmetry_Int_Tables_number 122
_symmetry_space_group_name_Hall 'I -4 2bw'
loop_
_atom_site_label
_atom_site_type_symbol
_atom_site_fract_x
_atom_site_fract_y
_atom_site_fract_z
_atom_site_occupancy
Rb1 Rb 0.000 0.000 0.000 1
Sn1 Sn 0.000 0.000 0.500 1
Cl1 Cl 0.193 0.250 0.625 1
```

***

Record 6
DFT (PBE) results for crystalline VZn5Rh6 at its relaxed geometry.

Summary:
Energy of formation   -0.4463 eV/atom

CIF file:
```
data_VZn5Rh6
_cell_length_a 4.270
_cell_length_b 6.058
_cell_length_c 6.728
_cell_angle_alpha 90.00
_cell_angle_beta 108.38
_cell_angle_gamma 90.00
_symmetry_space_group_name_H-M 'P 1 2/m 1'
_symmetry_Int_Tables_number 10
_symmetry_space_group_name_Hall '-P 2y'
loop_
_atom_site_label
_atom_site_type_symbol
_atom_site_fract_x
_atom_site_fract_y
_atom_site_fract_z
_atom_site_occupancy
V1 V 0.000 0.000 0.000 1
Zn1 Zn 0.000 0.500 0.000 1
Zn2 Zn 0.332 0.000 0.663 1
Zn3 Zn 0.332 0.500 0.665 1
Rh1 Rh 0.163 0.247 0.326 1
Rh2 Rh 0.500 0.245 0.000 1
```

***

Record 7
DFT (PBE) results for crystalline ScBe2Ni at its relaxed geometry.

Summary:
Polymorph energy (0 for the lowest one)   0 meV/atom
Energy of formation   -0.2821 eV/atom

CIF file:
```
data_ScBe2Ni
_cell_length_a 3.6853
_cell_length_b 3.6853
_cell_length_c 13.2115
_cell_angle_alpha 90.00
_cell_angle_beta 90.00
_cell_angle_gamma 120.00
_symmetry_space_group_name_H-M 'R -3 m'
_symmetry_Int_Tables_number 166
_symmetry_space_group_name_Hall '-R 3 2"'
loop_
_atom_site_label
_atom_site_type_symbol
_atom_site_fract_x
_atom_site_fract_y
_atom_site_fract_z
_atom_site_occupancy
Sc1 Sc 0.0000 0.0000 0.0000 1
Be1 Be 0.0000 0.0000 0.1974 1
Ni1 Ni 0.0000 0.0000 0.5000 1
```

***

Record 8
DFT (PBE) results for crystalline ReMoAu2 at its relaxed geometry.

Summary:
Polymorph energy (0 for the lowest one)   0 meV/atom
Energy of formation   0.2561 eV/atom

CIF file:
```
data_ReMoAu2
_cell_length_a 3.118
_cell_length_b 4.549
_cell_length_c 9.512
_cell_angle_alpha 90.00
_cell_angle_beta 90.00
_cell_angle_gamma 90.00
_symmetry_space_group_name_H-M 'C m m 2'
_symmetry_Int_Tables_number 35
_symmetry_space_group_name_Hall 'C 2 -2'
loop_
_atom_site_label
_atom_site_type_symbol
_atom_site_fract_x
_atom_site_fract_y
_atom_site_fract_z
_atom_site_occupancy
Re1 Re 0.000 0.000 0.000 1
Mo1 Mo 0.000 0.500 0.220 1
Au1 Au 0.000 0.000 0.475 1
Au2 Au 0.000 0.500 0.742 1
```

***

Record 9
DFT (PBE) results for crystalline Zn3RhC at its relaxed geometry.

Summary:
Polymorph energy (0 for the lowest one)   956 meV/atom
Energy of formation   1.4907 eV/atom

CIF file:
```
data_Zn3RhC
_cell_length_a 4.760
_cell_length_b 4.760
_cell_length_c 4.760
_cell_angle_alpha 90.00
_cell_angle_beta 90.00
_cell_angle_gamma 90.00
_symmetry_space_group_name_H-M 'P m -3 m'
_symmetry_Int_Tables_number 221
_symmetry_space_group_name_Hall '-P 4 2 3'
loop_
_atom_site_label
_atom_site_type_symbol
_atom_site_fract_x
_atom_site_fract_y
_atom_site_fract_z
_atom_site_occupancy
Zn1 Zn 0.000 0.000 0.500 1
Rh1 Rh 0.000 0.000 0.000 1
C1 C 0.500 0.500 0.500 1
```

***

Record 10
DFT (PBE) results for crystalline Pr6SnGe2Te3 at its relaxed geometry.

Summary:
Uncorrected formation energy   -1.182 eV per atom

CIF file:
```
data_Pr6SnGe2Te3
_cell_length_a 19.643
_cell_length_b 4.462
_cell_length_c 9.044
_cell_angle_alpha 90.00
_cell_angle_beta 104.15
_cell_angle_gamma 90.00
_symmetry_space_group_name_H-M 'C 1 2/m 1'
_symmetry_Int_Tables_number 12
_symmetry_space_group_name_Hall '-C 2y'
loop_
_atom_site_label
_atom_site_type_symbol
_atom_site_fract_x
_atom_site_fract_y
_atom_site_fract_z
_atom_site_occupancy
Pr1 Pr 0.007 0.000 0.250 1
Pr2 Pr 0.167 0.500 0.102 1
Pr3 Pr 0.173 0.500 0.569 1
Sn1 Sn 0.000 0.500 0.000 1
Ge1 Ge 0.168 0.000 0.335 1
Te1 Te 0.000 0.500 0.500 1
Te2 Te 0.165 0.000 0.832 1
```

***

Record 11
DFT (PBE) results for crystalline LiRu2Br at its relaxed geometry.

Summary:
Uncorrected formation energy   0.281 eV per atom
Polymorph energy (0 for the lowest one)   117 meV/atom

CIF file:
```
data_LiRu2Br
_cell_length_a 7.678
_cell_length_b 2.946
_cell_length_c 6.963
_cell_angle_alpha 90.00
_cell_angle_beta 109.95
_cell_angle_gamma 90.00
_symmetry_space_group_name_H-M 'C 1 m 1'
_symmetry_Int_Tables_number 8
_symmetry_space_group_name_Hall 'C -2y'
loop_
_atom_site_label
_atom_site_type_symbol
_atom_site_fract_x
_atom_site_fract_y
_atom_site_fract_z
_atom_site_occupancy
Li1 Li 0.000 0.000 0.000 1
Ru1 Ru 0.199 0.000 0.725 1
Ru2 Ru 0.420 0.000 0.572 1
Br1 Br 0.292 0.500 0.229 1
```

***

Record 12
DFT (PBE) results for crystalline TlMoIr2 at its relaxed geometry.

Summary:
Polymorph energy (0 for the lowest one)   445 meV/atom
Energy of formation   0.5328 eV/atom

CIF file:
```
data_TlMoIr2
_cell_length_a 4.835
_cell_length_b 4.835
_cell_length_c 2.895
_cell_angle_alpha 90.00
_cell_angle_beta 90.00
_cell_angle_gamma 90.00
_symmetry_space_group_name_H-M 'P 4/m m m'
_symmetry_Int_Tables_number 123
_symmetry_space_group_name_Hall '-P 4 2'
loop_
_atom_site_label
_atom_site_type_symbol
_atom_site_fract_x
_atom_site_fract_y
_atom_site_fract_z
_atom_site_occupancy
Tl1 Tl 0.000 0.000 0.000 1
Mo1 Mo 0.500 0.500 0.000 1
Ir1 Ir 0.000 0.500 0.500 1
```

***

no.,raw total energy (eV per atom)
1,-5.935
2,-4.847
3,-2.347
4,-4.832
5,-3.098
6,-5.413
7,-5.173
8,-7.202
9,-2.589
10,-5.460
11,-5.254
12,-7.197